[1]
Density functional theory data (GGA-PBE) for crystalline YHo2Th at its relaxed geometry.

The structure in CIF format:
```
data_YHo2Th
_chemical_formula_sum 'Y1 Ho2 Th1'
_cell_length_a 3.5651
_cell_length_b 3.5651
_cell_length_c 11.7000
_cell_angle_alpha 81.24
_cell_angle_beta 81.24
_cell_angle_gamma 60.00
_symmetry_space_group_name_H-M 'P 1'
_symmetry_Int_Tables_number 1
_symmetry_space_group_name_Hall 'P 1'
loop_
_atom_site_label
_atom_site_fract_x
_atom_site_fract_y
_atom_site_fract_z
_atom_site_occupancy
Y1 0.5000 0.5000 0.5000 1
Ho1 0.7485 0.7485 0.7544 1
Ho2 0.2515 0.2515 0.2456 1
Th1 0.0000 0.0000 0.0000 1
```

Computed properties:
E above lowest polymorph ... 20 meV per atom
Crystal system ... trigonal
ΔH_f (0 K) ... 0.02 eV/atom
Calculated total energy ... -5.737 eV/atom
DOS at the Fermi energy ... 6.08 states/eV/cell


[2]
Density functional theory data (GGA-PBE) for crystalline YHo2Th at its relaxed geometry.

The structure in CIF format:
```
data_YHo2Th
_chemical_formula_sum 'Y2 Ho4 Th2'
_cell_length_a 3.5105
_cell_length_b 5.6243
_cell_length_c 13.5531
_cell_angle_alpha 90.00
_cell_angle_beta 74.92
_cell_angle_gamma 90.00
_symmetry_space_group_name_H-M 'P 1'
_symmetry_Int_Tables_number 1
_symmetry_space_group_name_Hall 'P 1'
loop_
_atom_site_label
_atom_site_fract_x
_atom_site_fract_y
_atom_site_fract_z
_atom_site_occupancy
Y1 0.9998 0.8584 0.8114 1
Y2 0.9020 0.3584 0.4046 1
Ho1 0.5149 0.8584 0.2915 1
Ho2 0.6400 0.3582 0.6712 1
Ho3 0.2615 0.8581 0.5448 1
Ho4 0.3870 0.3584 0.9244 1
Th1 0.2425 0.8584 0.0655 1
Th2 0.6601 0.3584 0.1504 1
```

Computed properties:
E above lowest polymorph ... 68 meV per atom
Crystal system ... monoclinic
ΔH_f (0 K) ... 0.07 eV/atom
Calculated total energy ... -5.689 eV/atom
DOS at the Fermi energy ... 12.59 states/eV/cell


[3]
Density functional theory data (GGA-PBE) for crystalline Y12HoTh5 at its relaxed geometry.

The structure in CIF format:
```
data_Y12HoTh5
_chemical_formula_sum 'Y12 Ho1 Th5'
_cell_length_a 6.2236
_cell_length_b 6.2293
_cell_length_c 17.3054
_cell_angle_alpha 86.75
_cell_angle_beta 83.37
_cell_angle_gamma 60.02
_symmetry_space_group_name_H-M 'P 1'
_symmetry_Int_Tables_number 1
_symmetry_space_group_name_Hall 'P 1'
loop_
_atom_site_label
_atom_site_fract_x
_atom_site_fract_y
_atom_site_fract_z
_atom_site_occupancy
Y1 0.8882 0.0001 0.3347 1
Y2 0.1116 0.0001 0.6653 1
Y3 0.7180 0.9997 0.8359 1
Y4 0.2823 0.0002 0.1641 1
Y5 0.3891 0.6640 0.8357 1
Y6 0.9468 0.6645 0.1643 1
Y7 0.0536 0.3353 0.8358 1
Y8 0.6111 0.3359 0.1642 1
Y9 0.4454 0.3333 0.6642 1
Y10 0.7787 0.6668 0.6642 1
Y11 0.2210 0.3334 0.3358 1
Y12 0.5543 0.6668 0.3358 1
Ho1 0.0003 0.9998 0.0000 1
Th1 0.4998 0.0001 0.5000 1
Th2 0.1662 0.6672 0.5000 1
Th3 0.8333 0.3330 0.5000 1
Th4 0.6671 0.6663 0.0000 1
Th5 0.3335 0.3335 0.0000 1
```

Computed properties:
Crystal system ... triclinic
ΔH_f (0 K) ... 0.01 eV/atom
Calculated total energy ... -6.614 eV/atom
DOS at the Fermi energy ... 26.67 states/eV/cell


[4]
Density functional theory data (GGA-PBE) for crystalline YHo7Th3 at its relaxed geometry.

The structure in CIF format:
```
data_YHo7Th3
_chemical_formula_sum 'Y1 Ho7 Th3'
_cell_length_a 6.6771
_cell_length_b 6.4276
_cell_length_c 8.5980
_cell_angle_alpha 82.76
_cell_angle_beta 101.25
_cell_angle_gamma 83.35
_symmetry_space_group_name_H-M 'P 1'
_symmetry_Int_Tables_number 1
_symmetry_space_group_name_Hall 'P 1'
loop_
_atom_site_label
_atom_site_fract_x
_atom_site_fract_y
_atom_site_fract_z
_atom_site_occupancy
Y1 0.5000 0.5000 0.5000 1
Ho1 0.2294 0.2914 0.2048 1
Ho2 0.2679 0.9921 0.5749 1
Ho3 0.7140 0.4287 0.1440 1
Ho4 0.2860 0.5713 0.8560 1
Ho5 0.0000 0.5000 0.5000 1
Ho6 0.7321 0.0079 0.4251 1
Ho7 0.7706 0.7086 0.7952 1
Th1 0.0529 0.8221 0.1646 1
Th2 0.5000 0.0000 0.0000 1
Th3 0.9471 0.1779 0.8354 1
```

Computed properties:
E above lowest polymorph ... 0 meV per atom
Crystal system ... triclinic
ΔH_f (0 K) ... 0.15 eV/atom
Calculated total energy ... -5.375 eV/atom
DOS at the Fermi energy ... 17.87 states/eV/cell


[5]
Density functional theory data (GGA-PBE) for crystalline Y12Ho5Th2 at its relaxed geometry.

The structure in CIF format:
```
data_Y12Ho5Th2
_chemical_formula_sum 'Y12 Ho5 Th2'
_cell_length_a 8.7474
_cell_length_b 10.0199
_cell_length_c 11.3977
_cell_angle_alpha 132.16
_cell_angle_beta 110.10
_cell_angle_gamma 94.71
_symmetry_space_group_name_H-M 'P 1'
_symmetry_Int_Tables_number 1
_symmetry_space_group_name_Hall 'P 1'
loop_
_atom_site_label
_atom_site_fract_x
_atom_site_fract_y
_atom_site_fract_z
_atom_site_occupancy
Y1 0.8165 0.6664 0.8521 1
Y2 0.1749 0.5643 0.9718 1
Y3 0.4242 0.3817 0.7648 1
Y4 0.9903 0.6407 0.4704 1
Y5 0.7533 0.9096 0.6894 1
Y6 0.4231 0.1181 0.8666 1
Y7 0.6118 0.8838 0.1377 1
Y8 0.0044 0.3564 0.5377 1
Y9 0.2198 0.0802 0.3009 1
Y10 0.8400 0.4549 0.0344 1
Y11 0.5778 0.6236 0.2382 1
Y12 0.1788 0.3127 0.0967 1
Ho1 0.4012 0.6330 0.6367 1
Ho2 0.3013 0.8235 0.4239 1
Ho3 0.0138 0.0399 0.5692 1
Ho4 0.6618 0.1596 0.5603 1
Ho5 0.5896 0.3477 0.3461 1
Th1 0.8109 0.1245 0.0864 1
Th2 0.2065 0.8794 0.9167 1
```

Computed properties:
E above lowest polymorph ... 0 meV per atom
Crystal system ... triclinic
ΔH_f (0 K) ... 0.11 eV/atom
Calculated total energy ... -5.963 eV/atom
DOS at the Fermi energy ... 30.16 states/eV/cell


[6]
Density functional theory data (GGA-PBE) for crystalline Y3Ho2Th2 at its relaxed geometry.

The structure in CIF format:
```
data_Y3Ho2Th2
_chemical_formula_sum 'Y3 Ho2 Th2'
_cell_length_a 3.5717
_cell_length_b 10.7049
_cell_length_c 7.9447
_cell_angle_alpha 58.56
_cell_angle_beta 77.05
_cell_angle_gamma 59.99
_symmetry_space_group_name_H-M 'P 1'
_symmetry_Int_Tables_number 1
_symmetry_space_group_name_Hall 'P 1'
loop_
_atom_site_label
_atom_site_fract_x
_atom_site_fract_y
_atom_site_fract_z
_atom_site_occupancy
Y1 0.0000 0.0000 0.0000 1
Y2 0.5708 0.5675 0.1556 1
Y3 0.4292 0.4325 0.8444 1
Ho1 0.1442 0.1392 0.2939 1
Ho2 0.8558 0.8608 0.7061 1
Th1 0.2856 0.2862 0.5701 1
Th2 0.7144 0.7138 0.4299 1
```

Computed properties:
E above lowest polymorph ... 0 meV per atom
Crystal system ... monoclinic
ΔH_f (0 K) ... 0.03 eV/atom
Calculated total energy ... -6.171 eV/atom
DOS at the Fermi energy ... 9.50 states/eV/cell


[7]
Density functional theory data (GGA-PBE) for crystalline Y2HoTh at its relaxed geometry.

The structure in CIF format:
```
data_Y2HoTh
_chemical_formula_sum 'Y2 Ho1 Th1'
_cell_length_a 3.5757
_cell_length_b 3.5757
_cell_length_c 11.7402
_cell_angle_alpha 81.24
_cell_angle_beta 81.24
_cell_angle_gamma 60.00
_symmetry_space_group_name_H-M 'P 1'
_symmetry_Int_Tables_number 1
_symmetry_space_group_name_Hall 'P 1'
loop_
_atom_site_label
_atom_site_fract_x
_atom_site_fract_y
_atom_site_fract_z
_atom_site_occupancy
Y1 0.7511 0.7511 0.7468 1
Y2 0.2489 0.2489 0.2532 1
Ho1 0.0000 0.0000 0.0000 1
Th1 0.5000 0.5000 0.5000 1
```

Computed properties:
E above lowest polymorph ... 0 meV per atom
Crystal system ... trigonal
ΔH_f (0 K) ... 0.03 eV/atom
Calculated total energy ... -6.204 eV/atom
DOS at the Fermi energy ... 6.12 states/eV/cell


[8]
Density functional theory data (GGA-PBE) for crystalline Y8Ho6Th at its relaxed geometry.

The structure in CIF format:
```
data_Y8Ho6Th
_chemical_formula_sum 'Y8 Ho6 Th1'
_cell_length_a 9.0249
_cell_length_b 9.0249
_cell_length_c 8.6384
_cell_angle_alpha 58.51
_cell_angle_beta 58.51
_cell_angle_gamma 60.00
_symmetry_space_group_name_H-M 'P 1'
_symmetry_Int_Tables_number 1
_symmetry_space_group_name_Hall 'P 1'
loop_
_atom_site_label
_atom_site_fract_x
_atom_site_fract_y
_atom_site_fract_z
_atom_site_occupancy
Y1 0.8882 0.2818 0.5819 1
Y2 0.7520 0.1118 0.4181 1
Y3 0.7182 0.7520 0.4181 1
Y4 0.4226 0.4226 0.7322 1
Y5 0.5774 0.5774 0.2678 1
Y6 0.2818 0.2480 0.5819 1
Y7 0.2480 0.8882 0.5819 1
Y8 0.1118 0.7182 0.4181 1
Ho1 0.1049 0.5378 0.1245 1
Ho2 0.7672 0.8951 0.8755 1
Ho3 0.4622 0.7672 0.8755 1
Ho4 0.5378 0.2328 0.1245 1
Ho5 0.2328 0.1049 0.1245 1
Ho6 0.8951 0.4622 0.8755 1
Th1 0.0000 0.0000 0.0000 1
```

Computed properties:
Crystal system ... trigonal
ΔH_f (0 K) ... 0.13 eV/atom
Calculated total energy ... -5.646 eV/atom
DOS at the Fermi energy ... 24.15 states/eV/cell


[9]
Density functional theory data (GGA-PBE) for crystalline Y5Ho4Th4 at its relaxed geometry.

The structure in CIF format:
```
data_Y5Ho4Th4
_chemical_formula_sum 'Y5 Ho4 Th4'
_cell_length_a 5.0494
_cell_length_b 9.4240
_cell_length_c 9.4240
_cell_angle_alpha 85.88
_cell_angle_beta 74.46
_cell_angle_gamma 74.46
_symmetry_space_group_name_H-M 'P 1'
_symmetry_Int_Tables_number 1
_symmetry_space_group_name_Hall 'P 1'
loop_
_atom_site_label
_atom_site_fract_x
_atom_site_fract_y
_atom_site_fract_z
_atom_site_occupancy
Y1 0.6951 0.8431 0.7666 1
Y2 0.3049 0.1569 0.2334 1
Y3 0.0000 0.0000 0.0000 1
Y4 0.5383 0.7666 0.1569 1
Y5 0.4617 0.2334 0.8431 1
Ho1 0.7663 0.3875 0.0800 1
Ho2 0.2337 0.6125 0.9200 1
Ho3 0.8462 0.9200 0.3875 1
Ho4 0.1538 0.0800 0.6125 1
Th1 0.9250 0.4611 0.6889 1
Th2 0.6139 0.3111 0.4611 1
Th3 0.0750 0.5389 0.3111 1
Th4 0.3861 0.6889 0.5389 1
```

Computed properties:
Crystal system ... tetragonal
ΔH_f (0 K) ... 0.03 eV/atom
Calculated total energy ... -6.145 eV/atom
DOS at the Fermi energy ... 18.90 states/eV/cell


[10]
Density functional theory data (GGA-PBE) for crystalline Y3Ho4Th2 at its relaxed geometry.

The structure in CIF format:
```
data_Y3Ho4Th2
_chemical_formula_sum 'Y3 Ho4 Th2'
_cell_length_a 5.7752
_cell_length_b 6.3409
_cell_length_c 9.3590
_cell_angle_alpha 116.10
_cell_angle_beta 107.97
_cell_angle_gamma 90.00
_symmetry_space_group_name_H-M 'P 1'
_symmetry_Int_Tables_number 1
_symmetry_space_group_name_Hall 'P 1'
loop_
_atom_site_label
_atom_site_fract_x
_atom_site_fract_y
_atom_site_fract_z
_atom_site_occupancy
Y1 0.8756 0.3182 0.7513 1
Y2 0.1244 0.6818 0.2487 1
Y3 0.0000 0.0000 0.0000 1
Ho1 0.5603 0.3805 0.1205 1
Ho2 0.7702 0.6748 0.5405 1
Ho3 0.4397 0.6195 0.8795 1
Ho4 0.2298 0.3252 0.4595 1
Th1 0.3548 0.9887 0.7096 1
Th2 0.6452 0.0113 0.2904 1
```

Computed properties:
E above lowest polymorph ... 5 meV per atom
Crystal system ... monoclinic
ΔH_f (0 K) ... 0.13 eV/atom
Calculated total energy ... -5.711 eV/atom
DOS at the Fermi energy ... 14.39 states/eV/cell


[11]
Density functional theory data (GGA-PBE) for crystalline YHo2Th4 at its relaxed geometry.

The structure in CIF format:
```
data_YHo2Th4
_chemical_formula_sum 'Y2 Ho4 Th8'
_cell_length_a 6.8446
_cell_length_b 6.8446
_cell_length_c 13.4811
_cell_angle_alpha 104.03
_cell_angle_beta 104.03
_cell_angle_gamma 121.58
_symmetry_space_group_name_H-M 'P 1'
_symmetry_Int_Tables_number 1
_symmetry_space_group_name_Hall 'P 1'
loop_
_atom_site_label
_atom_site_fract_x
_atom_site_fract_y
_atom_site_fract_z
_atom_site_occupancy
Y1 0.9070 0.0930 0.2500 1
Y2 0.0930 0.9070 0.7500 1
Ho1 0.3820 0.6180 0.7500 1
Ho2 0.7623 0.2377 0.7500 1
Ho3 0.6180 0.3820 0.2500 1
Ho4 0.2377 0.7623 0.2500 1
Th1 0.2873 0.2388 0.5133 1
Th2 0.7299 0.2301 0.9998 1
Th3 0.7699 0.2701 0.5002 1
Th4 0.7612 0.7127 0.9867 1
Th5 0.2388 0.2873 0.0133 1
Th6 0.2301 0.7299 0.4998 1
Th7 0.2701 0.7699 0.0002 1
Th8 0.7127 0.7612 0.4867 1
```

Computed properties:
E above lowest polymorph ... 0 meV per atom
Crystal system ... monoclinic
ΔH_f (0 K) ... 0.23 eV/atom
Calculated total energy ... -6.242 eV/atom
DOS at the Fermi energy ... 21.49 states/eV/cell


[12]
Density functional theory data (GGA-PBE) for crystalline YHo3Th5 at its relaxed geometry.

The structure in CIF format:
```
data_YHo3Th5
_chemical_formula_sum 'Y2 Ho6 Th10'
_cell_length_a 9.1955
_cell_length_b 9.1955
_cell_length_c 9.6345
_cell_angle_alpha 118.50
_cell_angle_beta 118.50
_cell_angle_gamma 90.00
_symmetry_space_group_name_H-M 'P 1'
_symmetry_Int_Tables_number 1
_symmetry_space_group_name_Hall 'P 1'
loop_
_atom_site_label
_atom_site_fract_x
_atom_site_fract_y
_atom_site_fract_z
_atom_site_occupancy
Y1 0.7500 0.2500 0.5000 1
Y2 0.2500 0.7500 0.5000 1
Ho1 0.6039 0.1039 0.0000 1
Ho2 0.3961 0.8961 0.0000 1
Ho3 0.8961 0.6039 0.0000 1
Ho4 0.1039 0.3961 0.0000 1
Ho5 0.2500 0.2500 0.5000 1
Ho6 0.7500 0.7500 0.5000 1
Th1 0.0823 0.5823 0.7477 1
Th2 0.6654 0.1654 0.7477 1
Th3 0.1654 0.0823 0.7477 1
Th4 0.5823 0.6654 0.7477 1
Th5 0.9177 0.4177 0.2523 1
Th6 0.3346 0.8346 0.2523 1
Th7 0.8346 0.9177 0.2523 1
Th8 0.4177 0.3346 0.2523 1
Th9 0.5000 0.5000 0.0000 1
Th10 0.0000 0.0000 0.0000 1
```

Computed properties:
Crystal system ... tetragonal
ΔH_f (0 K) ... 0.45 eV/atom
Calculated total energy ... -5.916 eV/atom
DOS at the Fermi energy ... 32.22 states/eV/cell